Record 1
KY2B after structural relaxation, computed with PBE.

a b c (Å): 6.928 6.928 6.928
angles (deg): 107.68 107.68 113.12
Positions (direct):
K (0.000, 0.000, 0.000)
K (0.750, 0.250, 0.500)
Y (0.248, 0.625, 0.123)
Y (0.375, 0.498, 0.623)
Y (0.502, 0.125, 0.877)
Y (0.875, 0.752, 0.377)
B (0.250, 0.750, 0.500)
B (0.500, 0.500, 0.000)

Calculated values
**Electronic total energy**: -18.56 eV/f.u.
**Total moment**: 0.0000 μB/atom

---

Record 2
Li12TbAg6 after structural relaxation, computed with PBE.

a b c (Å): 7.341 7.341 7.341
angles (deg): 101.55 101.55 101.55
Positions (direct):
Li (0.000, 0.390, 0.610)
Li (0.000, 0.610, 0.390)
Li (0.054, 0.054, 0.328)
Li (0.054, 0.328, 0.054)
Li (0.328, 0.054, 0.054)
Li (0.390, 0.000, 0.610)
Li (0.390, 0.610, 0.000)
Li (0.610, 0.000, 0.390)
Li (0.610, 0.390, 0.000)
Li (0.672, 0.946, 0.946)
Li (0.946, 0.672, 0.946)
Li (0.946, 0.946, 0.672)
Tb (0.500, 0.500, 0.500)
Ag (0.243, 0.728, 0.728)
Ag (0.272, 0.272, 0.757)
Ag (0.272, 0.757, 0.272)
Ag (0.728, 0.243, 0.728)
Ag (0.728, 0.728, 0.243)
Ag (0.757, 0.272, 0.272)

Calculated values
**Electronic total energy**: -45.68 eV/f.u.
**Total moment**: 0.0000 μB/atom

---

Record 3
Cr2In2Pt after structural relaxation, computed with PBE.

a b c (Å): 7.080 7.080 3.802
angles (deg): 90.00 90.00 90.00
Positions (direct):
Cr (0.159, 0.341, 0.000)
Cr (0.341, 0.841, 0.000)
Cr (0.659, 0.159, 0.000)
Cr (0.841, 0.659, 0.000)
In (0.144, 0.644, 0.500)
In (0.356, 0.144, 0.500)
In (0.644, 0.856, 0.500)
In (0.856, 0.356, 0.500)
Pt (0.000, 0.000, 0.500)
Pt (0.500, 0.500, 0.500)

Calculated values
**Electronic total energy**: -29.06 eV/f.u.
**Total moment**: 1.4596 μB/atom

---

Record 4
CaWBr2 after structural relaxation, computed with PBE.

a b c (Å): 3.312 4.620 6.367
angles (deg): 90.00 90.00 90.00
Positions (direct):
Ca (0.000, 0.000, 0.000)
W (0.500, 0.000, 0.500)
Br (0.000, 0.500, 0.500)
Br (0.500, 0.500, 0.000)

Calculated values
**Total moment**: 0.5483 μB/atom
**Formation energy without anion corrections**: 112 kJ/mol of formula units

---

Record 5
ZrBeSiAg2 after structural relaxation, computed with PBE.

a b c (Å): 4.283 4.283 4.892
angles (deg): 90.00 90.00 90.00
Positions (direct):
Zr (0.000, 0.000, 0.000)
Be (0.000, 0.000, 0.500)
Si (0.500, 0.500, 0.000)
Ag (0.000, 0.500, 0.500)
Ag (0.500, 0.000, 0.500)

Calculated values
**Total moment**: 0.0000 μB/atom
**Formation energy without anion corrections**: 150 kJ/mol of formula units

---

Record 6
K3I3N2 after structural relaxation, computed with PBE.

a b c (Å): 14.103 14.103 10.741
angles (deg): 90.00 90.00 160.90
Positions (direct):
K (0.089, 0.911, 0.568)
K (0.089, 0.911, 0.932)
K (0.241, 0.759, 0.750)
K (0.759, 0.241, 0.250)
K (0.911, 0.089, 0.068)
K (0.911, 0.089, 0.432)
I (0.320, 0.680, 0.030)
I (0.320, 0.680, 0.470)
I (0.475, 0.525, 0.250)
I (0.525, 0.475, 0.750)
I (0.680, 0.320, 0.530)
I (0.680, 0.320, 0.970)
N (0.095, 0.905, 0.198)
N (0.095, 0.905, 0.302)
N (0.905, 0.095, 0.698)
N (0.905, 0.095, 0.802)

Calculated values
**Total moment**: 0.0000 μB/atom
**Formation energy without anion corrections**: -782 kJ/mol of formula units

---

Record 7
Tb3YCd after structural relaxation, computed with PBE.

a b c (Å): 6.751 6.751 12.649
angles (deg): 94.27 94.27 31.51
Positions (direct):
Tb (0.035, 0.035, 0.190)
Tb (0.146, 0.146, 0.447)
Tb (0.365, 0.365, 0.021)
Tb (0.635, 0.635, 0.979)
Tb (0.854, 0.854, 0.553)
Tb (0.965, 0.965, 0.810)
Y (0.231, 0.231, 0.753)
Y (0.769, 0.769, 0.247)
Cd (0.441, 0.441, 0.373)
Cd (0.559, 0.559, 0.627)

Calculated values
**Electronic total energy**: -21.85 eV/f.u.
**Total moment**: 0.0012 μB/atom

---

Record 8
YAl2As after structural relaxation, computed with PBE.

a b c (Å): 6.223 6.223 6.223
angles (deg): 102.37 102.37 124.86
Positions (direct):
Y (0.000, 0.000, 0.000)
Y (0.750, 0.250, 0.500)
Al (0.172, 0.625, 0.047)
Al (0.375, 0.422, 0.547)
Al (0.578, 0.125, 0.953)
Al (0.875, 0.828, 0.453)
As (0.250, 0.750, 0.500)
As (0.500, 0.500, 0.000)

Calculated values
**Electronic total energy**: -19.91 eV/f.u.
**Total moment**: 0.0003 μB/atom